# 1
10
Lattice="-2.9717 1.7419 -6.7752 6.0024 -3.1459 -3.4415 -1.2280 -5.8148 -5.2196" Properties=species:S:1:pos:R:3 comment="Cs2BeCdBr6 | Alexandria via LeMat-Bulk | GGA-PBE | relaxed" formation_energy_uncorrected_mev_per_atom=-1157 pbc="T T T"
Cs -1.3422 -2.3874 -8.5516
Cs 3.1448 -4.8313 -6.8847
Be 1.5153 -0.7020 -5.1083
Br -0.0080 -3.5410 -5.1701
Br 1.8106 -3.6778 -10.2661
Br 0.8541 -0.3956 -2.8791
Br 2.1766 -1.0083 -7.3376
Br -0.4428 0.3645 -5.8358
Br 3.4734 -1.7685 -4.3809
Cd 0.0000 0.0000 0.0000


# 2
4
Lattice="-1.0017 1.8374 2.7929 -3.1672 -2.4250 0.4594 5.0949 -5.6089 5.5174" Properties=species:S:1:pos:R:3 comment="K2SiHg | Alexandria via LeMat-Bulk | GGA-PBE | relaxed" formation_energy_uncorrected_mev_per_atom=232 relative_energy_ev_per_fu=0.986 pbc="T T T"
Hg 1.7367 -4.5005 5.7642
K 0.1089 -0.1199 0.1179
K 2.4386 -2.6846 2.6408
Si -0.8107 -1.6960 3.0055


# 3
5
Lattice="-3.8245 0.1224 -3.9841 0.8574 -5.3669 -0.9879 -3.8926 -1.3023 3.6968" Properties=species:S:1:pos:R:3 comment="RbZnTe3 | Alexandria via LeMat-Bulk | GGA-PBE | relaxed" formation_energy_uncorrected_mev_per_atom=-163 relative_energy_ev_per_fu=0.000 pbc="T T T"
Zn 0.0000 0.0000 0.0000
Te 0.4287 -2.6835 -0.4940
Te -1.9463 -0.6512 1.8484
Te -1.9123 0.0612 -1.9920
Rb -3.4299 -3.2734 -0.6376